(1)
ZrGaN2: relaxed, PBE-GGA.

a = 6.288 Å, b = 6.288 Å, c = 6.288 Å
α = 30.85°, β = 30.85°, γ = 30.85°
Element x y z (fractional)
Ga (0.000, 0.000, 0.000)
Zr (0.500, 0.500, 0.500)
N (0.104, 0.104, 0.104)
N (0.896, 0.896, 0.896)

relative energy among the computed polymorphs: 0.0000 eV per atom
magnetization: 0.00 Bohr magnetons per cell

***

(2)
SrTaPb2: relaxed, PBE-GGA.

a = 3.396 Å, b = 6.049 Å, c = 5.394 Å
α = 90.00°, β = 90.00°, γ = 90.00°
Element x y z (fractional)
Ta (0.000, 0.500, 0.500)
Pb (0.000, 0.000, 0.000)
Pb (0.500, 0.500, 0.000)
Sr (0.500, 0.000, 0.500)

energy of formation: 0.5311 eV per atom
magnetization: 0.00 Bohr magnetons per cell

***

(3)
LaHgAu2: relaxed, PBE-GGA.

a = 4.820 Å, b = 4.820 Å, c = 10.126 Å
α = 76.23°, β = 76.23°, γ = 90.00°
Element x y z (fractional)
La (0.250, 0.750, 0.500)
La (0.500, 0.500, 0.000)
Au (0.688, 0.125, 0.250)
Au (0.875, 0.938, 0.750)
Au (0.375, 0.312, 0.750)
Au (0.062, 0.625, 0.250)
Hg (0.750, 0.250, 0.500)
Hg (0.000, 0.000, 0.000)

energy of formation: -0.2726 eV per atom
magnetization: 0.00 Bohr magnetons per cell

***

(4)
RbSn2Ge: relaxed, PBE-GGA.

a = 4.806 Å, b = 4.806 Å, c = 7.550 Å
α = 71.44°, β = 71.44°, γ = 60.00°
Element x y z (fractional)
Rb (0.500, 0.500, 0.500)
Sn (0.289, 0.289, 0.133)
Sn (0.711, 0.711, 0.867)
Ge (0.000, 0.000, 0.000)

energy of formation: 0.0003 eV per atom
magnetization: 0.00 Bohr magnetons per cell